LiMn2Tc: relaxed, PBE-GGA.

abc: 2.8920 2.8920 7.0065
angles: 90.00 90.00 90.00
Closest atoms and distances in Å follow each position.
Sites, in units of the cell vectors:
Mn  0.0000  0.0000  0.0233  4 Tc 2.59, 4 Li 2.80, 4 Mn 2.89
Tc  0.5000  0.5000  0.2500  8 Mn 2.59, 4 Tc 2.89
Li  0.5000  0.5000  0.7500  8 Mn 2.80, 4 Li 2.89
Mn  0.0000  0.0000  0.4767  4 Tc 2.59, 4 Li 2.80, 4 Mn 2.89

Properties
The total energy comes out at -7.361 eV/atom. Its density of states at the Fermi level is 3.8 states/eV/cell. Its space group is P4/mmm, No. 123. The formation enthalpy at 0 K comes out at 1.18 eV per formula unit.

=====

LiMn2Tc: relaxed, PBE-GGA.

abc: 4.9062 4.9062 4.2426
angles: 64.37 64.37 33.54
Closest atoms and distances in Å follow each position.
Sites, in units of the cell vectors:
Mn  0.0140  0.0140  0.9862  2 Mn 2.40, 4 Tc 2.56, 2 Li 2.59
Mn  0.7454  0.7454  0.7545  2 Mn 2.40, 2 Tc 2.46, 4 Li 2.55
Li  0.2546  0.2546  0.2452  6 Mn 2.55-2.59, 2 Tc 2.66, 2 Li 2.83
Tc  0.4860  0.4860  0.5142  6 Mn 2.46-2.56, 2 Li 2.66

Properties
The total energy comes out at -7.441 eV/atom. Its density of states at the Fermi level is 2.8 states/eV/cell. Its space group is Imm2, No. 44. The formation enthalpy at 0 K comes out at 0.85 eV per formula unit.

=====

LiMn2Tc: relaxed, PBE-GGA.

abc: 2.5567 3.8254 5.2061
angles: 90.00 90.00 90.00
Closest atoms and distances in Å follow each position.
Sites, in units of the cell vectors:
Tc  0.0000  0.0000  0.4985  2 Tc 2.56, 6 Mn 2.59-2.64, 4 Li 2.67
Mn  0.5000  0.5000  0.2481  6 Mn 2.56-2.65, 2 Li 2.56-2.65, 4 Tc 2.64
Li  0.5000  0.5000  0.7570  2 Li 2.56, 6 Mn 2.56-2.65, 4 Tc 2.67
Mn  0.0000  0.0000  0.9964  6 Mn 2.56-2.65, 2 Tc 2.59-2.61, 4 Li 2.62

Properties
The total energy comes out at -7.390 eV/atom. Its density of states at the Fermi level is 4.0 states/eV/cell. Its space group is Pmm2, No. 25. The formation enthalpy at 0 K comes out at 1.06 eV per formula unit.

=====

Li2Mn2Tc: relaxed, PBE-GGA.

abc: 7.0344 7.0344 2.6331
angles: 90.00 90.00 90.00
Closest atoms and distances in Å follow each position.
Sites, in units of the cell vectors:
Tc  0.0000  0.0000  0.0000  2 Tc 2.63, 4 Li 2.85, 8 Mn 2.87
Li  0.8899  0.6101  0.0000  1 Li 2.19, 2 Mn 2.36
Mn  0.6926  0.8074  0.5000  6 Li 2.36-2.57, 2 Mn 2.63
Mn  0.8074  0.3074  0.5000  6 Li 2.36-2.57, 2 Mn 2.63
Mn  0.1926  0.6926  0.5000  6 Li 2.36-2.57, 2 Mn 2.63
Li  0.6101  0.1101  0.0000  1 Li 2.19, 2 Mn 2.36
Tc  0.5000  0.5000  0.0000  2 Tc 2.63, 4 Li 2.85, 8 Mn 2.87
Li  0.3899  0.8899  0.0000  1 Li 2.19, 2 Mn 2.36
Li  0.1101  0.3899  0.0000  1 Li 2.19, 2 Mn 2.36
Mn  0.3074  0.1926  0.5000  6 Li 2.36-2.57, 2 Mn 2.63

Properties
The total energy comes out at -5.999 eV/atom. Its density of states at the Fermi level is 10.5 states/eV/cell. Its space group is P4/mbm, No. 127. The formation enthalpy at 0 K comes out at 2.54 eV per formula unit.

=====

LiMn2Tc: relaxed, PBE-GGA.

abc: 4.1329 2.5525 4.8886
angles: 80.60 90.00 90.00
Closest atoms and distances in Å follow each position.
Sites, in units of the cell vectors:
Tc  0.0000  0.4938  0.5050  4 Mn 2.54-2.59, 2 Li 2.55, 2 Tc 2.55
Mn  0.5000  0.2515  0.2461  4 Mn 2.55, 2 Tc 2.55, 2 Li 2.56-2.58
Mn  0.0000  0.9829  0.9966  2 Li 2.49, 2 Tc 2.54-2.59, 4 Mn 2.55
Li  0.5000  0.7717  0.7522  4 Mn 2.49-2.58, 2 Tc 2.55, 2 Li 2.55

Properties
The total energy comes out at -7.436 eV/atom. Its density of states at the Fermi level is 3.4 states/eV/cell. Its space group is Pm, No. 6. The formation enthalpy at 0 K comes out at 0.87 eV per formula unit.

=====

LiMn2Tc: relaxed, PBE-GGA.

abc: 4.3001 4.3001 2.8358
angles: 90.00 90.00 95.68
Closest atoms and distances in Å follow each position.
Sites, in units of the cell vectors:
Mn  0.5000  0.5000  0.0000  4 Tc 2.58, 4 Li 2.58, 2 Mn 2.84
Mn  0.0000  0.0000  0.0000  4 Li 2.58, 4 Tc 2.58, 2 Mn 2.84
Tc  0.5000  0.0000  0.5000  8 Mn 2.58, 2 Tc 2.84
Li  0.0000  0.5000  0.5000  8 Mn 2.58, 2 Li 2.84

Properties
The total energy comes out at -7.380 eV/atom. Its density of states at the Fermi level is 4.4 states/eV/cell. Its space group is Cmmm, No. 65. The formation enthalpy at 0 K comes out at 1.10 eV per formula unit.

=====

LiMn2Tc: relaxed, PBE-GGA.

abc: 6.5274 6.5274 5.2359
angles: 51.44 51.44 90.00
Closest atoms and distances in Å follow each position.
Sites, in units of the cell vectors:
Mn  0.8750  0.8963  0.7500  2 Tc 2.30, 2 Li 2.49, 2 Mn 2.49
Mn  0.3750  0.3537  0.7500  2 Tc 2.30, 2 Li 2.49, 2 Mn 2.49
Li  0.2500  0.7500  0.5000  2 Tc 2.47, 4 Mn 2.49
Mn  0.6463  0.1250  0.2500  2 Tc 2.30, 2 Li 2.49, 2 Mn 2.49
Li  0.5000  0.5000  0.0000  2 Tc 2.47, 4 Mn 2.49
Tc  0.7500  0.2500  0.5000  4 Mn 2.30, 2 Li 2.47
Mn  0.1037  0.6250  0.2500  2 Tc 2.30, 2 Li 2.49, 2 Mn 2.49
Tc  0.0000  0.0000  0.0000  4 Mn 2.30, 2 Li 2.47

Properties
The total energy comes out at -6.886 eV/atom. Its density of states at the Fermi level is 11.6 states/eV/cell. Its space group is I-42d, No. 122. The formation enthalpy at 0 K comes out at 3.08 eV per formula unit.

=====

LiMn3Tc: relaxed, PBE-GGA.

abc: 3.8867 3.8867 3.8867
angles: 90.00 90.00 90.00
Closest atoms and distances in Å follow each position.
Sites, in units of the cell vectors:
Tc  0.5000  0.5000  0.5000  12 Mn 2.75
Mn  0.5000  0.0000  0.0000  2 Li 1.94
Mn  0.0000  0.5000  0.0000  2 Li 1.94
Mn  0.0000  0.0000  0.5000  2 Li 1.94
Li  0.0000  0.0000  0.0000  6 Mn 1.94

Properties
The total energy comes out at -6.826 eV/atom. Its density of states at the Fermi level is 5.1 states/eV/cell. Its space group is Pm-3m, No. 221. The formation enthalpy at 0 K comes out at 5.66 eV per formula unit.